No. 1
This record from Alexandria describes a geometry-optimized Li3U2MnS6 structure. The functional is PBE-GGA.

The structure in POSCAR format:
```
Li3U2MnS6
1.0
6.5949 -0.0030 0.0043
-3.2985 5.7108 0.0043
-1.0958 -1.8974 6.1974
Li U Mn S
3 2 1 6
direct
0.1614 0.8386 0.5000
0.8386 0.1614 0.5000
0.5000 0.5000 0.5000
0.3326 0.6674 0.0000
0.6674 0.3326 0.0000
0.0000 0.0000 0.0000
0.9165 0.5954 0.7494
0.7609 0.7609 0.2468
0.0835 0.4046 0.2506
0.5954 0.9165 0.7494
0.2391 0.2391 0.7532
0.4046 0.0835 0.2506
```

crystal system: monoclinic
formation energy without anion corrections: -1.24 eV per atom
symmetry: No. 12
total magnetization: 0.83 μB per atom



No. 2
This record from Alexandria describes a geometry-optimized Li3MnV2S6 structure. The functional is PBE-GGA.

The structure in POSCAR format:
```
Li3MnV2S6
1.0
6.0619 0.0960 -0.0033
-2.9463 5.2986 -0.0033
-1.0457 -1.8105 5.9678
Li Mn V S
3 1 2 6
direct
0.1716 0.8284 0.5000
0.8284 0.1716 0.5000
0.5000 0.5000 0.5000
0.0000 0.0000 0.0000
0.3466 0.6534 0.0000
0.6534 0.3466 0.0000
0.9286 0.5956 0.7809
0.7430 0.7430 0.2438
0.0714 0.4044 0.2191
0.5956 0.9286 0.7809
0.2570 0.2570 0.7562
0.4044 0.0714 0.2191
```

crystal system: monoclinic
formation energy without anion corrections: -1.00 eV per atom
symmetry: No. 12
total magnetization: 0.67 μB per atom



No. 3
This record from Alexandria describes a geometry-optimized LiMnV2S structure. The functional is PBE-GGA.

The structure in POSCAR format:
```
LiMnV2S
1.0
-1.3112 0.5723 3.9346
4.1791 -1.2698 1.5773
1.2702 3.9862 -0.1565
S Mn Li V
1 1 1 2
direct
0.5000 0.5000 0.5000
0.0000 0.0000 0.0000
0.0000 0.5000 0.0000
0.0000 0.0000 0.5000
0.5000 0.0000 0.0000
```

crystal system: tetragonal
formation energy without anion corrections: 0.80 eV per atom
symmetry: No. 123
total magnetization: 0.00 μB per atom



No. 4
This record from Alexandria describes a geometry-optimized Li2MnVS4 structure. The functional is PBE-GGA.

The structure in POSCAR format:
```
Li2MnVS4
1.0
-3.5361 -5.1551 0.9100
5.2778 -3.9720 -1.9927
2.4368 -0.3937 7.2387
Li Mn V S
4 2 2 8
direct
0.4993 0.3304 0.2527
0.4993 0.3304 0.7473
0.9993 0.6696 0.7527
0.9993 0.6696 0.2473
0.9959 0.1530 0.5000
0.4959 0.8470 0.0000
0.4972 0.8316 0.5000
0.9972 0.1684 0.0000
0.3518 0.1631 0.0000
0.8518 0.8369 0.5000
0.3723 0.1348 0.5000
0.8723 0.8652 0.0000
0.3920 0.6754 0.7434
0.8920 0.3246 0.2434
0.8920 0.3246 0.7566
0.3920 0.6754 0.2566
```

crystal system: orthorhombic
formation energy without anion corrections: -0.91 eV per atom
symmetry: No. 31
total magnetization: 0.75 μB per atom